# 1
Tb2AlGa2Ni5: relaxed, PBE-GGA.

a b c (Å): 9.772 9.772 3.239
angles (deg): 90.00 90.00 90.00
Space group P4/mbm (No. 127)
Unique sites:
Tb 0.176 0.324 0.000 [4 per cell]
Al 0.000 0.000 0.000 [2 per cell]
Ga 0.125 0.625 0.000 [4 per cell]
Ni 0.000 0.500 0.500 [2 per cell]
Ni 0.051 0.802 0.500 [8 per cell]

* raw total energy: -5.1936 eV per atom

# 2
NdDy2Cu: relaxed, PBE-GGA.

a b c (Å): 6.861 9.937 6.508
angles (deg): 90.00 90.00 90.00
Space group Pnma (No. 62)
Unique sites:
Nd 0.010 0.250 0.136 [4 per cell]
Dy 0.183 0.058 0.678 [8 per cell]
Cu 0.106 0.750 0.427 [4 per cell]

* raw total energy: -4.6047 eV per atom